A plane-wave DFT calculation with PBE was carried out for crystalline La6Rh3Au at its relaxed geometry.

The calculation puts the energy of formation from the pure elements at -671 meV per atom. The value obtained for the mass density is 7.44 g cm⁻³.

The space group is P2_1/m (No. 11) and the conventional cell measures 12.115, 4.213 and 12.507 Å, with angles of 90.00, 110.51 and 90.00 degrees. The inequivalent atoms are La at (0.045, 0.250, 0.381), La at (0.097, 0.750, 0.949), La at (0.242, 0.250, 0.782), La at (0.257, 0.750, 0.268), La at (0.403, 0.250, 0.565), La at (0.444, 0.250, 0.108), Rh at (0.001, 0.250, 0.791), Rh at (0.333, 0.750, 0.949), Rh at (0.421, 0.250, 0.340) and Au at (0.198, 0.750, 0.568).